# Li4CrFe3O8 | the Alexandria database | PBE+U | relaxed
# - DFT total energy (eV per atom) = -6.13
# - crystal system = triclinic
# - energy above the lowest structure with this stoichiometry (meV per atom) = 166.6
data_Li4CrFe3O8
_symmetry_space_group_name_H-M 'P 1'
_symmetry_Int_Tables_number 1
_cell_length_a 5.1157
_cell_length_b 5.8485
_cell_length_c 10.6849
_cell_angle_alpha 74.91
_cell_angle_beta 77.68
_cell_angle_gamma 74.28
loop_
_symmetry_equiv_pos_as_xyz
'x,y,z'
loop_
_atom_site_label
_atom_site_type_symbol
_atom_site_fract_x
_atom_site_fract_y
_atom_site_fract_z
_atom_site_occupancy
Li1 Li 0.0000 0.0000 0.0000 1
Li2 Li 0.0000 0.5000 0.0000 1
Li3 Li 0.0012 0.1235 0.2492 1
Li4 Li 0.0052 0.7391 0.5015 1
Li5 Li 0.0072 0.3767 0.7467 1
Li6 Li 0.9928 0.6233 0.2533 1
Li7 Li 0.9948 0.2609 0.4985 1
Li8 Li 0.9988 0.8765 0.7508 1
Cr1 Cr 0.4958 0.3143 0.1265 1
Cr2 Cr 0.5042 0.6857 0.8735 1
Fe1 Fe 0.4980 0.4418 0.3748 1
Fe2 Fe 0.4976 0.9377 0.3759 1
Fe3 Fe 0.4999 0.1862 0.8756 1
Fe4 Fe 0.5001 0.8138 0.1244 1
Fe5 Fe 0.5024 0.0623 0.6241 1
Fe6 Fe 0.5020 0.5582 0.6252 1
O1 O 0.2661 0.4106 0.5646 1
O2 O 0.2676 0.1397 0.0682 1
O3 O 0.2680 0.2915 0.3095 1
O4 O 0.2712 0.7775 0.3176 1
O5 O 0.2715 0.5139 0.8179 1
O6 O 0.2781 0.6541 0.0578 1
O7 O 0.2804 0.0255 0.8072 1
O8 O 0.2827 0.8994 0.5611 1
O9 O 0.7173 0.1006 0.4389 1
O10 O 0.7196 0.9745 0.1928 1
O11 O 0.7219 0.3459 0.9422 1
O12 O 0.7285 0.4861 0.1821 1
O13 O 0.7288 0.2225 0.6824 1
O14 O 0.7320 0.7085 0.6905 1
O15 O 0.7324 0.8603 0.9318 1
O16 O 0.7339 0.5894 0.4354 1